1.
Here is an optimized crystal structure of AcTb3Dy7 from Alexandria via LeMat-Bulk. Energies are from PBE.

Calculated values
As for the offset from the most stable computed form: 0 meV per atom.

abc: 7.0175 5.5982 9.8726
angles: 90.00 108.59 90.00
Closest atoms and distances in Å follow each position.
Space group P2/m (No. 10)
Symmetry-distinct sites (fractional):
Ac1 0.0000 0.0000 0.0000 [1 per cell]  2 Tb 3.51, 10 Dy 3.63-3.83
Tb1 0.2763 0.5000 0.4937 [2 per cell]  1 Tb 3.10, 4 Dy 3.31-3.42
Tb2 0.5000 0.0000 0.0000 [1 per cell]  6 Dy 3.46-3.51, 2 Ac 3.51
Dy1 0.0000 0.0000 0.5000 [1 per cell]  4 Tb 3.42, 2 Dy 3.79
Dy2 0.1468 0.5000 0.7884 [2 per cell]  2 Tb 3.31-3.36, 3 Dy 3.34-3.63
Dy3 0.3320 0.5000 0.1443 [2 per cell]  5 Dy 3.31-3.63, 3 Tb 3.51-3.59, 2 Ac 3.63
Dy4 0.4335 0.0000 0.3328 [2 per cell]  3 Dy 3.13-3.31, 1 Tb 3.46

---

2.
Here is an optimized crystal structure of AcTbDy3 from Alexandria via LeMat-Bulk. Energies are from PBE.

Calculated values
As for the offset from the most stable computed form: 94 meV per atom.

abc: 4.9103 8.5942 9.4595
angles: 68.81 75.00 90.00
Closest atoms and distances in Å follow each position.
Space group P-1 (No. 2)
Symmetry-distinct sites (fractional):
Ac1 0.1154 0.1496 0.2701 [2 per cell]  7 Dy 3.62-3.84, 3 Tb 3.73-3.88, 1 Ac 4.02
Tb1 0.3117 0.1107 0.8766 [2 per cell]  2 Tb 3.39-3.40, 5 Dy 3.40-3.57, 1 Ac 3.73
Dy1 0.0562 0.6975 0.3876 [2 per cell]  6 Dy 3.24-3.44, 2 Tb 3.40-3.41, 1 Ac 3.62
Dy2 0.2270 0.6278 0.0460 [2 per cell]  6 Dy 3.39-3.72, 2 Tb 3.57, 2 Ac 3.73
Dy3 0.4147 0.5529 0.6704 [2 per cell]  8 Dy 3.43-3.72, 1 Tb 3.55, 2 Ac 3.73

---

3.
Here is an optimized crystal structure of AcTbDy from Alexandria via LeMat-Bulk. Energies are from PBE.

Calculated values
As for the offset from the most stable computed form: 2 meV per atom.

abc: 3.7261 3.7261 8.9346
angles: 90.00 90.00 120.00
Closest atoms and distances in Å follow each position.
Space group P3m1 (No. 156)
Symmetry-distinct sites (fractional):
Ac1 0.0000 0.0000 0.0000 [1 per cell]  6 Ac 3.73, 3 Dy 3.74, 3 Tb 3.75
Tb1 0.3333 0.6667 0.6565 [1 per cell]  3 Dy 3.54, 6 Tb 3.73, 3 Ac 3.75
Dy1 0.6667 0.3333 0.3420 [1 per cell]  3 Tb 3.54, 6 Dy 3.73, 3 Ac 3.74

---

4.
Here is an optimized crystal structure of Ac2TbDy5 from Alexandria via LeMat-Bulk. Energies are from PBE.

Calculated values
The value obtained for the calculated total energy is -70.8 eV for the cell shown.

abc: 5.2282 5.2282 20.2111
angles: 90.00 90.00 90.00
Closest atoms and distances in Å follow each position.
Space group I4/mmm (No. 139)
Symmetry-distinct sites (fractional):
Ac1 0.0000 0.0000 0.2500 [4 per cell]  4 Ac 3.70, 8 Dy 3.73
Tb1 0.0000 0.0000 0.0000 [2 per cell]  12 Dy 3.54-3.70
Dy1 0.0000 0.0000 0.5000 [2 per cell]  8 Dy 3.54, 4 Tb 3.70
Dy2 0.0000 0.5000 0.1182 [8 per cell]  2 Tb 3.54, 6 Dy 3.54-3.70, 4 Ac 3.73

---

5.
Here is an optimized crystal structure of Ac2TbDy6 from Alexandria via LeMat-Bulk. Energies are from PBE.

Calculated values
The value obtained for the calculated total energy is -39.3 eV for the cell shown.

abc: 8.7930 3.6353 10.0749
angles: 90.00 102.07 90.00
Closest atoms and distances in Å follow each position.
Space group P2/m (No. 10)
Symmetry-distinct sites (fractional):
Ac1 0.1946 0.0000 0.4631 [2 per cell]  9 Dy 3.61-3.88, 3 Ac 3.64-3.65
Tb1 0.5000 0.5000 0.0000 [1 per cell]  8 Dy 3.30-3.64, 2 Tb 3.64
Dy1 0.1219 0.5000 0.7849 [2 per cell]  1 Tb 3.57, 7 Dy 3.59-3.89, 4 Ac 3.79-3.88
Dy2 0.1827 0.0000 0.0983 [2 per cell]  9 Dy 3.40-3.64, 2 Tb 3.64, 1 Ac 3.65
Dy3 0.4793 0.5000 0.3237 [2 per cell]  1 Tb 3.30, 5 Dy 3.49-3.64, 4 Ac 3.61-3.68

---

6.
Here is an optimized crystal structure of Ac2Tb5Dy from Alexandria via LeMat-Bulk. Energies are from PBE.

Calculated values
The value obtained for the calculated total energy is -71.1 eV for the cell shown.

abc: 5.2322 5.2322 20.3336
angles: 90.00 90.00 90.00
Closest atoms and distances in Å follow each position.
Space group I4/mmm (No. 139)
Symmetry-distinct sites (fractional):
Ac1 0.0000 0.0000 0.2502 [4 per cell]  4 Ac 3.70, 8 Tb 3.74-3.75
Tb1 0.0000 0.0000 0.0000 [2 per cell]  8 Tb 3.55, 4 Dy 3.70
Tb2 0.0000 0.5000 0.1183 [8 per cell]  6 Tb 3.55-3.70, 2 Dy 3.55, 4 Ac 3.74-3.75
Dy1 0.0000 0.0000 0.5000 [2 per cell]  12 Tb 3.55-3.70

---

7.
Here is an optimized crystal structure of AcTbDy2 from Alexandria via LeMat-Bulk. Energies are from PBE.

Calculated values
As for the offset from the most stable computed form: 139 meV per atom.

abc: 3.5763 3.5763 38.0774
angles: 90.00 90.00 120.00
Closest atoms and distances in Å follow each position.
Space group R-3m (No. 166, hexagonal axes)
Symmetry-distinct sites (fractional):
Ac1 0.0000 0.0000 0.0000 [3 per cell]  2 Dy 3.52, 6 Ac 3.58
Tb1 0.0000 0.0000 0.5000 [3 per cell]  6 Dy 3.50, 6 Tb 3.58
Dy1 0.0000 0.0000 0.0926 [6 per cell]  3 Tb 3.50, 1 Ac 3.52, 6 Dy 3.58

---

8.
Here is an optimized crystal structure of Ac2Tb15Dy2 from Alexandria via LeMat-Bulk. Energies are from PBE.

Calculated values
The value obtained for the calculated total energy is -243.9 eV for the cell shown.

abc: 11.2993 11.2993 17.7083
angles: 90.00 90.00 120.00
Closest atoms and distances in Å follow each position.
Space group R-3m (No. 166, hexagonal axes)
Symmetry-distinct sites (fractional):
Ac1 0.0000 0.0000 0.1126 [6 per cell]  6 Tb 3.40-3.76
Tb1 0.0000 0.3071 0.0000 [18 per cell]  6 Tb 3.27-3.47
Tb2 0.0000 0.5000 0.5000 [9 per cell]  2 Ac 3.40, 8 Tb 3.40-3.43
Tb3 0.0199 0.5099 0.1372 [18 per cell]  6 Tb 3.24-3.40
Dy1 0.0000 0.0000 0.3300 [6 per cell]  1 Ac 3.85, 12 Tb 3.92-4.19

---

9.
Here is an optimized crystal structure of AcTb10Dy4 from Alexandria via LeMat-Bulk. Energies are from PBE.

Calculated values
The value obtained for the calculated total energy is -121.9 eV for the cell shown.

abc: 12.7089 12.7089 6.7046
angles: 90.00 90.00 90.00
Closest atoms and distances in Å follow each position.
Space group I4/m (No. 87)
Symmetry-distinct sites (fractional):
Ac1 0.0000 0.0000 0.0000 [2 per cell]  8 Dy 4.15, 8 Tb 4.38
Tb1 0.0000 0.5000 0.2500 [4 per cell]  6 Tb 3.12-3.35
Tb2 0.1291 0.2914 0.2494 [16 per cell]  4 Tb 3.12-3.36, 3 Dy 3.33-3.45
Dy1 0.0673 0.8201 0.5000 [8 per cell]  6 Tb 3.33-3.45, 2 Dy 3.45

---

10.
Here is an optimized crystal structure of AcTbDy5 from Alexandria via LeMat-Bulk. Energies are from PBE.

Calculated values
The value obtained for the calculated total energy is -124.2 eV for the cell shown.

abc: 8.9058 9.8314 11.5089
angles: 90.00 109.75 90.00
Closest atoms and distances in Å follow each position.
Space group C2/c (No. 15)
Symmetry-distinct sites (fractional):
Ac1 0.2500 0.2500 0.0000 [4 per cell]  6 Dy 3.46-3.69
Tb1 0.0000 0.2335 0.2500 [4 per cell]  9 Dy 3.34-3.64
Dy1 0.0000 0.4273 0.7500 [4 per cell]  6 Dy 3.31-3.57, 1 Tb 3.34, 2 Ac 3.46
Dy2 0.1285 0.0762 0.6686 [8 per cell]  5 Dy 3.41-3.73, 2 Tb 3.49-3.64, 1 Ac 3.69
Dy3 0.1684 0.3950 0.5349 [8 per cell]  6 Dy 3.31-3.57, 2 Tb 3.39-3.49, 1 Ac 3.62